No. 1
# TmPuBrO4 | Alexandria | PBE-GGA | optimized geometry
data_TmPuBrO4
_symmetry_space_group_name_H-M 'P 1'
_symmetry_Int_Tables_number 1
_symmetry_space_group_name_Hall 'P 1'
_cell_length_a 8.334
_cell_length_b 8.334
_cell_length_c 6.502
_cell_angle_alpha 76.24
_cell_angle_beta 76.24
_cell_angle_gamma 39.95
loop_
_atom_site_label
_atom_site_fract_x
_atom_site_fract_y
_atom_site_fract_z
_atom_site_occupancy
O1 0.562 0.562 0.103 1
O2 0.926 0.467 0.868 1
Pu1 0.397 0.397 0.202 1
O3 0.533 0.074 0.132 1
O4 0.074 0.533 0.132 1
Pu2 0.603 0.603 0.798 1
O5 0.352 0.352 0.500 1
Tm1 0.709 0.709 0.152 1
O6 0.438 0.438 0.897 1
Br1 0.036 0.036 0.717 1
Br2 0.964 0.964 0.283 1
Tm2 0.291 0.291 0.848 1
O7 0.648 0.648 0.500 1
O8 0.467 0.926 0.868 1
# formation energy without anion corrections: -17.82 eV/f.u.

---

No. 2
# Rb12Br3O4 | Alexandria | PBE-GGA | optimized geometry
data_Rb12Br3O4
_symmetry_space_group_name_H-M 'P 1'
_symmetry_Int_Tables_number 1
_symmetry_space_group_name_Hall 'P 1'
_cell_length_a 9.712
_cell_length_b 9.712
_cell_length_c 9.712
_cell_angle_alpha 109.47
_cell_angle_beta 109.47
_cell_angle_gamma 109.47
loop_
_atom_site_label
_atom_site_fract_x
_atom_site_fract_y
_atom_site_fract_z
_atom_site_occupancy
Rb1 0.276 0.047 0.771 1
Br1 0.500 0.000 0.500 1
Rb2 0.771 0.276 0.047 1
Rb3 0.229 0.724 0.953 1
Br2 0.000 0.500 0.500 1
O1 0.500 0.000 0.000 1
Rb4 0.495 0.771 0.724 1
Rb5 0.276 0.505 0.229 1
Rb6 0.047 0.771 0.276 1
O2 0.500 0.500 0.500 1
O3 0.000 0.500 0.000 1
Rb7 0.953 0.229 0.724 1
Br3 0.500 0.500 0.000 1
O4 0.000 0.000 0.500 1
Rb8 0.229 0.276 0.505 1
Rb9 0.724 0.495 0.771 1
Rb10 0.724 0.953 0.229 1
Rb11 0.771 0.724 0.495 1
Rb12 0.505 0.229 0.276 1
# formation energy without anion corrections: -21.39 eV/f.u.

---

No. 3
# Rb12Br5O3 | Alexandria | PBE-GGA | optimized geometry
data_Rb12Br5O3
_symmetry_space_group_name_H-M 'P 1'
_symmetry_Int_Tables_number 1
_symmetry_space_group_name_Hall 'P 1'
_cell_length_a 4.524
_cell_length_b 14.094
_cell_length_c 14.094
_cell_angle_alpha 120.00
_cell_angle_beta 90.00
_cell_angle_gamma 90.00
loop_
_atom_site_label
_atom_site_fract_x
_atom_site_fract_y
_atom_site_fract_z
_atom_site_occupancy
O1 0.500 0.667 0.000 1
Rb1 0.500 0.222 0.786 1
Rb2 0.000 0.000 0.546 1
Rb3 0.000 0.454 0.454 1
Rb4 0.000 0.806 0.000 1
Rb5 0.500 0.564 0.778 1
O2 0.500 0.333 0.333 1
O3 0.500 0.000 0.667 1
Rb6 0.500 0.436 0.214 1
Br1 0.000 0.000 0.296 1
Rb7 0.500 0.778 0.564 1
Rb8 0.000 0.546 0.000 1
Br2 0.000 0.667 0.333 1
Br3 0.000 0.296 0.000 1
Br4 0.000 0.333 0.667 1
Rb9 0.500 0.786 0.222 1
Rb10 0.000 0.000 0.806 1
Rb11 0.500 0.214 0.436 1
Br5 0.000 0.704 0.704 1
Rb12 0.000 0.194 0.194 1
# formation energy without anion corrections: -25.90 eV/f.u.
# distance to the lowest polymorph of the same formula: 0.0000 eV/atom

---

No. 4
# RbBrO2 | Alexandria | PBE-GGA | optimized geometry
data_RbBrO2
_symmetry_space_group_name_H-M 'P 1'
_symmetry_Int_Tables_number 1
_symmetry_space_group_name_Hall 'P 1'
_cell_length_a 4.916
_cell_length_b 4.916
_cell_length_c 4.916
_cell_angle_alpha 60.00
_cell_angle_beta 60.00
_cell_angle_gamma 60.00
loop_
_atom_site_label
_atom_site_fract_x
_atom_site_fract_y
_atom_site_fract_z
_atom_site_occupancy
Rb1 0.500 0.500 0.500 1
O1 0.250 0.250 0.250 1
O2 0.750 0.750 0.750 1
Br1 0.000 0.000 0.000 1
# formation energy without anion corrections: 1.26 eV/f.u.
# distance to the lowest polymorph of the same formula: 1.1130 eV/atom

---

No. 5
# Rb2BrO2 | Alexandria | PBE-GGA | optimized geometry
data_Rb2BrO2
_symmetry_space_group_name_H-M 'P 1'
_symmetry_Int_Tables_number 1
_symmetry_space_group_name_Hall 'P 1'
_cell_length_a 7.031
_cell_length_b 7.031
_cell_length_c 4.355
_cell_angle_alpha 90.00
_cell_angle_beta 90.00
_cell_angle_gamma 90.00
loop_
_atom_site_label
_atom_site_fract_x
_atom_site_fract_y
_atom_site_fract_z
_atom_site_occupancy
O1 0.322 0.822 0.000 1
O2 0.678 0.178 0.000 1
Br1 0.500 0.500 0.000 1
O3 0.178 0.322 0.000 1
Rb1 0.155 0.655 0.500 1
Br2 0.000 0.000 0.000 1
O4 0.822 0.678 0.000 1
Rb2 0.845 0.345 0.500 1
Rb3 0.345 0.155 0.500 1
Rb4 0.655 0.845 0.500 1
# formation energy without anion corrections: -2.38 eV/f.u.
# distance to the lowest polymorph of the same formula: 0.7133 eV/atom

---

No. 6
# Rb4BrO | Alexandria | PBE-GGA | optimized geometry
data_Rb4BrO
_symmetry_space_group_name_H-M 'P 1'
_symmetry_Int_Tables_number 1
_symmetry_space_group_name_Hall 'P 1'
_cell_length_a 7.866
_cell_length_b 8.692
_cell_length_c 10.333
_cell_angle_alpha 105.56
_cell_angle_beta 102.26
_cell_angle_gamma 113.59
loop_
_atom_site_label
_atom_site_fract_x
_atom_site_fract_y
_atom_site_fract_z
_atom_site_occupancy
O1 0.309 0.059 0.118 1
Br1 0.431 0.681 0.361 1
Rb1 0.620 0.383 0.328 1
Rb2 0.476 0.137 0.904 1
Rb3 0.207 0.945 0.328 1
Rb4 0.524 0.863 0.096 1
Rb5 0.380 0.617 0.672 1
Rb6 0.072 0.233 0.096 1
O2 0.691 0.941 0.882 1
Rb7 0.793 0.055 0.672 1
Rb8 0.928 0.767 0.904 1
Br2 0.569 0.319 0.639 1
# formation energy without anion corrections: -6.18 eV/f.u.
# distance to the lowest polymorph of the same formula: 0.0000 eV/atom

---

No. 7
# Rb2BrO2 | Alexandria | PBE-GGA | optimized geometry
data_Rb2BrO2
_symmetry_space_group_name_H-M 'P 1'
_symmetry_Int_Tables_number 1
_symmetry_space_group_name_Hall 'P 1'
_cell_length_a 8.807
_cell_length_b 8.807
_cell_length_c 4.427
_cell_angle_alpha 90.00
_cell_angle_beta 90.00
_cell_angle_gamma 90.00
loop_
_atom_site_label
_atom_site_fract_x
_atom_site_fract_y
_atom_site_fract_z
_atom_site_occupancy
O1 0.445 0.055 0.500 1
Br1 0.000 0.000 0.000 1
Rb1 0.154 0.346 0.000 1
Rb2 0.654 0.154 0.000 1
Rb3 0.846 0.654 0.000 1
O2 0.945 0.445 0.500 1
O3 0.555 0.945 0.500 1
O4 0.055 0.555 0.500 1
Rb4 0.346 0.846 0.000 1
Br2 0.500 0.500 0.000 1
# formation energy without anion corrections: -5.48 eV/f.u.
# distance to the lowest polymorph of the same formula: 0.0944 eV/atom

---

No. 8
# RbBr2O2 | Alexandria | PBE-GGA | optimized geometry
data_RbBr2O2
_symmetry_space_group_name_H-M 'P 1'
_symmetry_Int_Tables_number 1
_symmetry_space_group_name_Hall 'P 1'
_cell_length_a 8.282
_cell_length_b 8.282
_cell_length_c 3.347
_cell_angle_alpha 90.00
_cell_angle_beta 90.00
_cell_angle_gamma 90.00
loop_
_atom_site_label
_atom_site_fract_x
_atom_site_fract_y
_atom_site_fract_z
_atom_site_occupancy
O1 0.735 0.235 0.500 1
Br1 0.607 0.107 0.000 1
Rb1 0.000 0.000 0.000 1
Br2 0.893 0.607 0.000 1
O2 0.235 0.265 0.500 1
Br3 0.107 0.393 0.000 1
O3 0.765 0.735 0.500 1
Br4 0.393 0.893 0.000 1
Rb2 0.500 0.500 0.000 1
O4 0.265 0.765 0.500 1
# formation energy without anion corrections: 0.93 eV/f.u.
# distance to the lowest polymorph of the same formula: 0.5249 eV/atom

---

No. 9
# RbBr2O2 | Alexandria | PBE-GGA | optimized geometry
data_RbBr2O2
_symmetry_space_group_name_H-M 'P 1'
_symmetry_Int_Tables_number 1
_symmetry_space_group_name_Hall 'P 1'
_cell_length_a 8.331
_cell_length_b 8.331
_cell_length_c 3.882
_cell_angle_alpha 90.00
_cell_angle_beta 90.00
_cell_angle_gamma 90.00
loop_
_atom_site_label
_atom_site_fract_x
_atom_site_fract_y
_atom_site_fract_z
_atom_site_occupancy
O1 0.781 0.281 0.000 1
Br1 0.333 0.167 0.500 1
Rb1 0.500 0.500 0.000 1
Rb2 0.000 0.000 0.000 1
O2 0.719 0.781 0.000 1
O3 0.219 0.719 0.000 1
O4 0.281 0.219 0.000 1
Br2 0.167 0.667 0.500 1
Br3 0.667 0.833 0.500 1
Br4 0.833 0.333 0.500 1
# formation energy without anion corrections: -1.69 eV/f.u.
# distance to the lowest polymorph of the same formula: 0.0000 eV/atom